(1)
Pr6Ho3Cd | GGA-PBE | relaxed

```
20
Lattice="-1.039 -1.988 -4.647 10.438 2.353 -3.341 3.126 -10.391 3.748" Properties=species:S:1:pos:R:3 pbc="T T T"
Pr 2.848 -8.295 -1.385
Pr 3.784 -3.782 -3.525
Pr 3.791 -5.080 -0.106
Pr 10.586 -7.913 -3.278
Pr 9.677 -1.733 -2.855
Pr 8.741 -6.245 -0.715
Pr 9.509 -0.362 -6.269
Pr 3.016 -9.665 2.029
Pr 1.939 -2.114 -0.961
Pr 7.764 -9.535 -1.953
Pr 8.734 -4.947 -4.134
Pr 4.761 -0.492 -2.287
Ho 6.666 -2.099 -4.890
Ho 6.735 -3.369 -1.497
Ho 4.913 -11.211 -0.599
Ho 5.859 -7.929 0.650
Ho 7.612 1.184 -3.641
Ho 5.789 -6.658 -2.743
Cd 0.991 -5.494 -2.168
Cd 11.533 -4.533 -2.072
```

Energy of formation   -0.20 eV per formula unit
Space group   P2_1/m, No. 11
Final energy   -0.160 Ha/atom
Spin magnetization   0.0 μB/cell

(2)
Pr4Ho3Cd | GGA-PBE | relaxed

```
8
Lattice="-1.683 -1.938 3.261 3.780 -1.152 1.267 1.142 12.677 8.124" Properties=species:S:1:pos:R:3 pbc="T T T"
Pr 1.008 11.193 7.173
Pr 0.429 4.762 3.052
Pr 0.713 7.915 5.072
Pr 0.134 1.484 0.951
Ho 1.333 1.620 4.292
Ho 1.905 7.967 8.359
Ho 1.619 4.793 6.326
Cd 1.048 -1.545 2.264
```

Energy of formation   0.06 eV per formula unit
Space group   P4/mmm, No. 123
Final energy   -0.155 Ha/atom
Spin magnetization   0.0 μB/cell

(3)
Pr9HoCd2 | GGA-PBE | relaxed

```
12
Lattice="-0.197 3.111 -3.986 0.964 -3.893 -3.086 -15.061 -2.669 -1.338" Properties=species:S:1:pos:R:3 pbc="T T T"
Pr -2.686 1.097 -2.223
Pr -7.629 0.221 -2.662
Pr -4.672 -1.287 -3.985
Pr -9.622 -2.164 -4.425
Pr -12.571 -0.655 -3.102
Pr -11.991 -4.157 -2.652
Pr -7.048 -3.281 -2.212
Pr 0.384 -0.391 -3.536
Pr -2.106 -2.405 -1.773
Cd -9.949 -1.763 -0.884
Cd -5.111 -0.906 -0.454
Ho 0.000 0.000 0.000
```

Energy of formation   -0.80 eV per formula unit
Space group   P4/mmm, No. 123
Final energy   -0.154 Ha/atom
Spin magnetization   0.0 μB/cell

(4)
Pr2HoCd | GGA-PBE | relaxed

```
4
Lattice="-3.266 -0.384 -1.622 -0.824 -3.116 -1.749 -5.540 -5.339 8.278" Properties=species:S:1:pos:R:3 pbc="T T T"
Ho -4.818 -4.422 2.459
Pr -2.358 -2.160 1.116
Pr -4.544 -4.344 6.037
Cd -8.266 -7.671 6.028
```

Energy of formation   -0.18 eV per formula unit
Excess energy over the best structure of this formula in the dataset   106 meV per atom
Space group   R3m, No. 160
Final energy   -0.140 Ha/atom
Spin magnetization   0.0 μB/cell

(5)
Pr6HoCd5 | GGA-PBE | relaxed

```
12
Lattice="5.273 0.022 -1.539 -1.076 6.892 -3.589 -0.068 0.513 9.578" Properties=species:S:1:pos:R:3 pbc="T T T"
Pr -0.108 6.482 -0.276
Pr 3.711 4.307 2.975
Pr 2.351 1.842 -1.723
Pr 1.846 5.072 -3.405
Pr 0.418 3.120 1.475
Pr 4.236 0.944 4.726
Cd 3.268 1.245 1.412
Cd 2.781 4.791 -0.206
Cd 0.861 6.181 3.039
Cd -0.538 3.446 -1.795
Cd 1.348 2.635 4.657
Ho 0.000 0.000 0.000
```

Energy of formation   -2.77 eV per formula unit
Space group   Immm, No. 71
Final energy   -0.124 Ha/atom
Spin magnetization   0.0 μB/cell

(6)
Pr2HoCd | GGA-PBE | relaxed

```
8
Lattice="5.071 0.000 -1.406 -0.390 5.056 -1.406 -0.026 -0.028 9.752" Properties=species:S:1:pos:R:3 pbc="T T T"
Pr 1.681 1.816 6.061
Pr 2.974 3.212 0.878
Pr 2.535 0.000 -0.703
Pr -0.195 2.528 -0.703
Cd 3.693 1.250 3.470
Cd 0.962 3.778 3.470
Ho 0.660 0.713 2.381
Ho 3.995 4.315 4.558
```

Energy of formation   -0.60 eV per formula unit
Excess energy over the best structure of this formula in the dataset   0 meV per atom
Space group   I4/mmm, No. 139
Final energy   -0.144 Ha/atom
Spin magnetization   0.0 μB/cell

(7)
PrHoCd6 | GGA-PBE | relaxed

```
8
Lattice="-3.967 2.373 -1.694 -1.000 -4.823 -4.413 -3.058 -0.984 5.781" Properties=species:S:1:pos:R:3 pbc="T T T"
Cd -1.862 -3.215 -0.143
Cd -3.138 -3.349 -4.496
Cd -2.808 -1.047 -2.047
Cd -3.520 -3.966 2.687
Cd -4.578 -3.580 -1.450
Cd -1.188 -0.629 1.901
Ho -2.830 -1.410 4.650
Pr -4.244 -1.285 0.983
```

Energy of formation   -2.28 eV per formula unit
Space group   Amm2, No. 38
Final energy   -0.079 Ha/atom
Spin magnetization   0.0 μB/cell

(8)
Pr8HoCd2 | GGA-PBE | relaxed

```
11
Lattice="-0.382 0.639 -5.221 -4.666 -7.494 -1.905 -8.544 2.905 -0.349" Properties=species:S:1:pos:R:3 pbc="T T T"
Pr -10.089 -3.407 -2.376
Pr -7.139 -5.120 -2.867
Pr -4.598 -3.801 -5.352
Pr -7.989 -2.229 -5.016
Pr -8.993 -0.150 -2.123
Pr -6.451 1.170 -4.608
Pr -3.501 -0.543 -5.099
Pr -5.602 -1.721 -2.460
Cd -11.897 -3.711 -4.854
Cd -1.693 -0.240 -2.621
Ho 0.000 0.000 0.000
```

Energy of formation   2.80 eV per formula unit
Excess energy over the best structure of this formula in the dataset   328 meV per atom
Space group   C2/m, No. 12
Final energy   -0.140 Ha/atom
Spin magnetization   0.0 μB/cell

(9)
Pr2Ho5Cd | GGA-PBE | relaxed

```
8
Lattice="-6.270 1.646 2.601 0.728 -4.927 4.877 4.943 5.025 -0.644" Properties=species:S:1:pos:R:3 pbc="T T T"
Ho 0.271 4.720 2.304
Ho 0.707 2.433 4.912
Ho -1.804 -0.152 5.129
Ho 3.369 3.902 1.014
Ho 3.873 1.598 3.591
Pr -2.150 2.229 2.768
Pr 1.300 -0.781 3.639
Cd 0.957 1.565 1.312
```

Energy of formation   -0.19 eV per formula unit
Space group   Cm, No. 8
Final energy   -0.154 Ha/atom
Spin magnetization   0.0 μB/cell

(10)
PrHoCd4 | GGA-PBE | relaxed

```
6
Lattice="5.964 0.000 0.000 2.982 5.165 0.000 2.982 1.722 4.869" Properties=species:S:1:pos:R:3 pbc="T T T"
Pr 2.982 1.722 1.217
Cd 5.964 1.720 3.044
Cd 5.964 3.443 0.607
Cd 4.472 4.304 3.044
Cd 7.455 4.304 3.044
Ho 0.000 0.000 0.000
```

Energy of formation   -1.63 eV per formula unit
Excess energy over the best structure of this formula in the dataset   55 meV per atom
Space group   F-43m, No. 216
Final energy   -0.090 Ha/atom
Spin magnetization   0.0 μB/cell

(11)
PrHo2Cd3 | GGA-PBE | relaxed

```
6
Lattice="-1.803 -3.019 1.344 2.959 -2.156 -0.875 4.471 1.936 10.345" Properties=species:S:1:pos:R:3 pbc="T T T"
Cd 1.420 0.615 3.286
Cd 3.051 1.321 7.059
Cd 0.000 0.000 0.000
Pr 2.813 -1.619 5.407
Ho 4.327 -0.964 8.909
Ho 1.300 -2.275 1.905
```

Energy of formation   -1.88 eV per formula unit
Excess energy over the best structure of this formula in the dataset   0 meV per atom
Space group   P4/mmm, No. 123
Final energy   -0.114 Ha/atom
Spin magnetization   0.8 μB/cell

(12)
PrHo4Cd4 | GGA-PBE | relaxed

```
18
Lattice="-2.669 -2.571 -4.054 4.573 -8.165 2.168 -7.041 -2.321 6.108" Properties=species:S:1:pos:R:3 pbc="T T T"
Ho -5.347 -6.703 4.143
Ho -4.262 -2.147 4.077
Ho -6.184 -9.988 3.056
Ho -3.681 -3.522 0.846
Ho -1.521 -9.598 3.278
Ho 0.276 -6.291 0.179
Ho 1.729 -8.402 4.100
Ho -1.557 -5.578 -2.788
Pr -2.568 -6.529 2.111
Pr 0.000 0.000 0.000
Cd -1.067 -7.151 5.149
Cd -6.526 -4.006 3.027
Cd 1.325 -9.113 1.098
Cd -3.970 -9.863 5.239
Cd -1.103 -3.132 -0.919
Cd -1.466 -3.397 3.030
Cd -5.752 -7.416 1.139
Cd -1.989 -8.151 -0.872
```

Energy of formation   -1.04 eV per formula unit
Space group   P4_2/n, No. 86
Final energy   -0.113 Ha/atom
Spin magnetization   0.0 μB/cell